a.
VASP calculation (PBE) on crystalline TlZnNiSn2 at its relaxed geometry.

Values from the calculation:
The value obtained for the density of states at the Fermi level is 1.0031 states/eV per atom.

Cell and atoms, written as POSCAR:
```
TlZnNiSn2
1.0
5.1838 0.0000 0.0000
0.0000 5.1599 0.0000
0.0000 0.0000 5.1838
Zn Tl Sn Ni
1 1 2 1
Direct
0.0000 0.0000 0.0000 Zn
0.0000 0.5000 0.0000 Tl
0.0000 0.0000 0.5000 Sn
0.5000 0.0000 0.0000 Sn
0.5000 0.5000 0.5000 Ni
```

b.
VASP calculation (PBE) on crystalline TlZnNiSn2 at its relaxed geometry.

Values from the calculation:
The value obtained for the density of states at the Fermi level is 0.4103 states/eV per atom.

Cell and atoms, written as POSCAR:
```
TlZnNiSn2
1.0
5.0154 0.0000 0.0000
0.0000 5.0154 0.0000
0.0000 0.0000 4.7759
Zn Tl Sn Ni
1 1 2 1
Direct
0.0000 0.0000 0.5000 Zn
0.5000 0.5000 0.5000 Tl
0.0000 0.5000 0.0000 Sn
0.5000 0.0000 0.0000 Sn
0.0000 0.0000 0.0000 Ni
```

Need the numbers? Relative energies in meV per atom: a 758; b 0.

a.
VASP calculation (PBE) on crystalline TmNi9Sn2 at its relaxed geometry.

Values from the calculation:
The value obtained for the density of states at the Fermi level is 1.4090 states/eV per atom.

Cell and atoms, written as POSCAR:
```
TmNi9Sn2
1.0
-2.0418 -1.3570 4.1919
7.4339 -0.7790 3.3687
-0.2689 7.8334 2.4048
Tm Ni Sn
2 18 4
Direct
0.0000 0.5000 0.5000 Tm
0.0000 0.0000 0.0000 Tm
0.5000 0.5000 0.0000 Ni
0.5000 0.0000 0.5000 Ni
0.5000 0.7043 0.5649 Ni
0.5000 0.2957 0.4351 Ni
0.5000 0.2043 0.9351 Ni
0.5000 0.7957 0.0649 Ni
0.5000 0.4351 0.7043 Ni
0.5000 0.5649 0.2957 Ni
0.5000 0.0649 0.2043 Ni
0.5000 0.9351 0.7957 Ni
0.7544 0.8259 0.3259 Ni
0.7544 0.1741 0.6741 Ni
0.7544 0.3259 0.1741 Ni
0.7544 0.6741 0.8259 Ni
0.2456 0.1741 0.6741 Ni
0.2456 0.8259 0.3259 Ni
0.2456 0.6741 0.8259 Ni
0.2456 0.3259 0.1741 Ni
0.0000 0.6283 0.1283 Sn
0.0000 0.3717 0.8717 Sn
0.0000 0.1283 0.3717 Sn
0.0000 0.8717 0.6283 Sn
```

b.
VASP calculation (PBE) on crystalline TmNi9Sn2 at its relaxed geometry.

Values from the calculation:
The value obtained for the density of states at the Fermi level is 1.1068 states/eV per atom.

Cell and atoms, written as POSCAR:
```
TmNi9Sn2
1.0
4.9108 0.0000 0.0000
2.4554 4.2529 0.0000
2.4554 1.4176 7.8893
Tm Ni Sn
1 9 2
Direct
0.0000 0.0000 0.0000 Tm
0.6662 0.6662 0.0014 Ni
0.3338 0.3338 0.9986 Ni
0.5000 0.5000 0.5000 Ni
0.4143 0.4143 0.2517 Ni
0.9197 0.4143 0.2517 Ni
0.4143 0.9197 0.2517 Ni
0.5857 0.5857 0.7483 Ni
0.5857 0.0803 0.7483 Ni
0.0803 0.5857 0.7483 Ni
0.8627 0.8627 0.4119 Sn
0.1373 0.1373 0.5881 Sn
```

Need the numbers? Relative energies in meV per atom: a 0; b 18.

a.
VASP calculation (PBE) on crystalline NiSnW3 at its relaxed geometry.

Values from the calculation:
The value obtained for the density of states at the Fermi level is 1.4510 states/eV per atom.

Cell and atoms, written as POSCAR:
```
NiSnW3
1.0
-2.6728 3.0241 -2.0458
-2.6052 -3.3559 -1.5571
-2.5580 0.2581 3.7234
Ni Sn W
1 1 3
Direct
0.0000 0.0000 0.0000 Ni
0.5000 0.5000 0.5000 Sn
0.0000 0.5000 0.0000 W
0.0000 0.0000 0.5000 W
0.5000 0.0000 0.0000 W
```

b.
VASP calculation (PBE) on crystalline NiSnW3 at its relaxed geometry.

Values from the calculation:
The value obtained for the density of states at the Fermi level is 1.5470 states/eV per atom.

Cell and atoms, written as POSCAR:
```
NiSnW3
1.0
4.8546 0.0000 0.0000
0.0000 4.8546 0.0000
0.0000 0.0000 4.8546
Ni Sn W
1 1 3
Direct
0.5000 0.5000 0.5000 Ni
0.0000 0.0000 0.0000 Sn
0.0000 0.5000 0.0000 W
0.0000 0.0000 0.5000 W
0.5000 0.0000 0.0000 W
```

Need the numbers? Relative energies in meV per atom: a 0; b 1634.

a.
VASP calculation (PBE) on crystalline YNi9Sn2 at its relaxed geometry.

Values from the calculation:
The value obtained for the density of states at the Fermi level is 1.4382 states/eV per atom.

Cell and atoms, written as POSCAR:
```
YNi9Sn2
1.0
4.8823 0.0000 0.0000
0.0000 8.2127 0.0000
0.0000 0.0000 8.2127
Y Ni Sn
2 18 4
Direct
0.0000 0.5000 0.5000 Y
0.0000 0.0000 0.0000 Y
0.5000 0.5000 0.0000 Ni
0.5000 0.0000 0.5000 Ni
0.5000 0.7055 0.5656 Ni
0.5000 0.2945 0.4344 Ni
0.5000 0.2055 0.9344 Ni
0.5000 0.7945 0.0656 Ni
0.5000 0.4344 0.7055 Ni
0.5000 0.5656 0.2945 Ni
0.5000 0.0656 0.2055 Ni
0.5000 0.9344 0.7945 Ni
0.7541 0.8262 0.3262 Ni
0.7541 0.1737 0.6738 Ni
0.7541 0.3262 0.1737 Ni
0.7541 0.6738 0.8262 Ni
0.2459 0.1737 0.6738 Ni
0.2459 0.8262 0.3262 Ni
0.2459 0.6738 0.8262 Ni
0.2459 0.3262 0.1737 Ni
0.0000 0.6282 0.1282 Sn
0.0000 0.3718 0.8718 Sn
0.0000 0.1282 0.3718 Sn
0.0000 0.8718 0.6282 Sn
```

b.
VASP calculation (PBE) on crystalline YNi9Sn2 at its relaxed geometry.

Values from the calculation:
The value obtained for the density of states at the Fermi level is 1.1045 states/eV per atom.

Cell and atoms, written as POSCAR:
```
YNi9Sn2
1.0
-1.5681 3.1118 3.4979
-4.3134 -0.8022 2.2646
1.7138 -3.5324 7.3954
Y Ni Sn
1 9 2
Direct
0.0000 0.0000 0.0000 Y
0.6662 0.6662 0.0015 Ni
0.3338 0.3338 0.9985 Ni
0.5000 0.5000 0.5000 Ni
0.4136 0.4136 0.2533 Ni
0.9196 0.4136 0.2533 Ni
0.4136 0.9196 0.2533 Ni
0.5864 0.5864 0.7467 Ni
0.5864 0.0804 0.7467 Ni
0.0804 0.5864 0.7467 Ni
0.8621 0.8621 0.4138 Sn
0.1379 0.1379 0.5862 Sn
```

Need the numbers? Relative energies in meV per atom: a 0; b 27.